# 1
## Ce5In2Pb (PBE)

Data for a relaxed Ce5In2Pb crystal.

It has space group Cmcm (No. 63), with a = 5.638 Å, b = 11.714 Å, c = 13.896 Å, α = 90.00°, β = 90.00° and γ = 90.00°. Symmetry generates all atoms from Ce at (0.000, 0.030, 0.250), Ce at (0.000, 0.102, 0.536), Ce at (0.000, 0.421, 0.569), In at (0.000, 0.301, 0.141) and Pb at (0.000, 0.251, 0.750).

The value obtained for the density is 8.2 g cm⁻³. Its crystal system is orthorhombic. As for the energy above the most stable polymorph in this dataset: 102 meV per atom.

=====

# 2
## Ce6In3Pb (PBE)

Data for a relaxed Ce6In3Pb crystal.

It has space group P2_1/c (No. 14), with a = 5.968 Å, b = 9.077 Å, c = 12.042 Å, α = 90.00°, β = 119.53° and γ = 90.00°. Symmetry generates all atoms from Ce at (0.028, 0.145, 0.051), Ce at (0.428, 0.144, 0.450), Ce at (0.465, 0.644, 0.248), In at (0.000, 0.000, 0.500), In at (0.037, 0.618, 0.752) and Pb at (0.500, 0.000, 0.000).

The value obtained for the density is 8.1 g cm⁻³. Its crystal system is monoclinic. The calculation puts the raw total energy at -0.363 Ry per atom.

=====

# 3
## CeIn2Pb2 (PBE)

Data for a relaxed CeIn2Pb2 crystal.

It has space group P6_3/mmc (No. 194), with a = 5.2940 Å, b = 5.2940 Å, c = 13.0492 Å, α = 90.00°, β = 90.00° and γ = 120.00°. Symmetry generates all atoms from Ce at (0.0000, 0.0000, 0.2500), In at (0.0000, 0.0000, 0.0000), In at (0.3333, 0.6667, 0.2500) and Pb at (0.3333, 0.6667, 0.6168).

The value obtained for the density is 8.2 g cm⁻³. Its crystal system is hexagonal. The calculation puts the raw total energy at -0.279 Ry per atom.

=====

# 4
## CeInPdPb (PBE)

Data for a relaxed CeInPdPb crystal.

It has space group F-43m (No. 216), with a = 7.302 Å, b = 7.302 Å, c = 7.302 Å, α = 90.00°, β = 90.00° and γ = 90.00°. Symmetry generates all atoms from Ce at (0.000, 0.000, 0.000), In at (0.000, 0.000, 0.500), Pd at (0.250, 0.250, 0.750) and Pb at (0.250, 0.250, 0.250).

The value obtained for the density is 9.7 g cm⁻³. Its crystal system is cubic. The calculation puts the raw total energy at -0.349 Ry per atom.

=====

# 5
## CeInPb2S5 (PBE)

Data for a relaxed CeInPb2S5 crystal.

It has space group Cmc2_1 (No. 36), with a = 4.118 Å, b = 17.761 Å, c = 12.886 Å, α = 90.00°, β = 90.00° and γ = 90.00°. Symmetry generates all atoms from Ce at (0.000, 0.211, 0.000), In at (0.000, 0.460, 0.428), Pb at (0.000, 0.122, 0.652), Pb at (0.000, 0.129, 0.287), S at (0.000, 0.047, 0.040), S at (0.000, 0.285, 0.649), S at (0.000, 0.321, 0.357), S at (0.000, 0.367, 0.999) and S at (0.000, 0.482, 0.757).

The value obtained for the density is 5.8 g cm⁻³. Its crystal system is orthorhombic. The raw formation energy is -0.907 eV/atom.

=====

# 6
## CeInPb2Se5 (PBE)

Data for a relaxed CeInPb2Se5 crystal.

It has space group Cmc2_1 (No. 36), with a = 4.252 Å, b = 19.072 Å, c = 13.356 Å, α = 90.00°, β = 90.00° and γ = 90.00°. Symmetry generates all atoms from Ce at (0.000, 0.201, 0.000), In at (0.000, 0.454, 0.418), Pb at (0.000, 0.126, 0.299), Pb at (0.000, 0.139, 0.648), Se at (0.000, 0.043, 0.036), Se at (0.000, 0.292, 0.653), Se at (0.000, 0.320, 0.348), Se at (0.000, 0.355, 0.995) and Se at (0.000, 0.478, 0.752).

The value obtained for the density is 6.5 g cm⁻³. Its crystal system is orthorhombic. The raw formation energy is -0.868 eV/atom.